No. 1
Compound: SrMg2CdRh
Source: Alexandria
Functional: PBE-GGA
Structure: optimized geometry

Lattice parameters (Å, degrees): 4.9908 4.9908 5.3197 90.00 90.00 90.00
With the nearest neighbours (Å) after each atom.
Space group P4/mmm (No. 123)
Asymmetric unit:
Sr (0.0000, 0.0000, 0.0000) (multiplicity 1)  4 Cd 3.53, 8 Mg 3.65
Mg (0.0000, 0.5000, 0.5000) (multiplicity 2)  2 Rh 2.50
Cd (0.5000, 0.5000, 0.0000) (multiplicity 1)  2 Rh 2.66
Rh (0.5000, 0.5000, 0.5000) (multiplicity 1)  4 Mg 2.50, 2 Cd 2.66

Values from the calculation:
For the energy of formation, the calculation gives -5.9 kcal/mol of atoms.

=====

No. 2
Compound: SrMgRh3
Source: Alexandria
Functional: PBE-GGA
Structure: optimized geometry

Lattice parameters (Å, degrees): 4.6997 4.6997 4.6997 90.00 90.00 90.00
With the nearest neighbours (Å) after each atom.
Space group Pm-3m (No. 221)
Asymmetric unit:
Sr (0.0000, 0.0000, 0.0000) (multiplicity 1)  12 Rh 3.32
Mg (0.5000, 0.5000, 0.5000) (multiplicity 1)  6 Rh 2.35
Rh (0.0000, 0.5000, 0.5000) (multiplicity 3)  2 Mg 2.35

Values from the calculation:
As for the energy above the most stable polymorph in this dataset: 0.00 kJ/mol of atoms. For the energy of formation, the calculation gives 9.7 kcal/mol of atoms.

=====

No. 3
Compound: Si2WSe
Source: Alexandria
Functional: PBE-GGA
Structure: optimized geometry

Lattice parameters (Å, degrees): 4.3767 4.3767 6.4276 90.00 90.00 90.00
With the nearest neighbours (Å) after each atom.
Space group I-4m2 (No. 119)
Asymmetric unit:
Si (0.0000, 0.0000, 0.0000) (multiplicity 2)  4 W 2.71, 4 Si 2.71
Si (0.0000, 0.5000, 0.2500) (multiplicity 2)  4 Se 2.71, 4 Si 2.71
W (0.0000, 0.5000, 0.7500) (multiplicity 2)  4 Se 2.71, 4 Si 2.71
Se (0.0000, 0.0000, 0.5000) (multiplicity 2)  4 W 2.71, 4 Si 2.71

Values from the calculation:
The calculation puts the formation energy without anion corrections at 608 meV/atom.

=====

No. 4
Compound: PuGe4Rh4
Source: Alexandria
Functional: PBE-GGA
Structure: optimized geometry

Lattice parameters (Å, degrees): 6.1322 6.1322 8.2655 90.00 90.00 90.00
With the nearest neighbours (Å) after each atom.
Space group P4_2/nmc (No. 137, origin choice 2)
Asymmetric unit:
Pu (0.2500, 0.7500, 0.2500) (multiplicity 2)  4 Ge 3.19, 12 Rh 3.51-3.56
Ge (0.0398, 0.2500, 0.0698) (multiplicity 8)  5 Rh 2.48-2.53, 1 Ge 2.58
Rh (0.0208, 0.2500, 0.3690) (multiplicity 8)  5 Ge 2.48-2.53

Values from the calculation:
For the energy of formation, the calculation gives -11.1 kcal/mol of atoms.

=====

No. 5
Compound: SrCrRe2
Source: Alexandria
Functional: PBE-GGA
Structure: optimized geometry

Lattice parameters (Å, degrees): 3.1601 5.1636 9.8115 90.00 90.00 90.00
With the nearest neighbours (Å) after each atom.
Space group Imm2 (No. 44)
Asymmetric unit:
Sr (0.0000, 0.0000, 0.0000) (multiplicity 2)  8 Re 3.04-3.32, 2 Sr 3.16, 4 Cr 3.24-3.31
Cr (0.0000, 0.5000, 0.7881) (multiplicity 2)  6 Re 2.80-3.12
Re (0.0000, 0.0000, 0.5233) (multiplicity 2)  2 Re 2.44
Re (0.0000, 0.5000, 0.2128) (multiplicity 2)  2 Re 2.44

Values from the calculation:
As for the energy above the most stable polymorph in this dataset: 37.19 kJ/mol of atoms. For the energy of formation, the calculation gives 23.3 kcal/mol of atoms.

=====

No. 6
Compound: Zn2GePt
Source: Alexandria
Functional: PBE-GGA
Structure: optimized geometry

Lattice parameters (Å, degrees): 4.3055 4.3055 13.0148 90.00 90.00 120.00
With the nearest neighbours (Å) after each atom.
Space group R3m (No. 160, hexagonal axes)
Asymmetric unit:
Zn (0.0000, 0.0000, 0.0000) (multiplicity 3)  1 Zn 2.67, 3 Pt 2.67, 4 Ge 2.81-2.92
Zn (0.0000, 0.0000, 0.2051) (multiplicity 3)  3 Pt 2.58, 1 Zn 2.67, 3 Ge 2.73
Ge (0.0000, 0.0000, 0.7844) (multiplicity 3)  1 Pt 2.51, 4 Zn 2.73-2.81
Pt (0.0000, 0.0000, 0.5918) (multiplicity 3)  1 Ge 2.51, 6 Zn 2.58-2.67

Values from the calculation:
For the energy of formation, the calculation gives -3.6 kcal/mol of atoms.

=====

No. 7
Compound: PrEr4Tm4
Source: Alexandria
Functional: PBE-GGA
Structure: optimized geometry

Lattice parameters (Å, degrees): 10.5738 10.5738 4.9715 90.00 90.00 90.00
With the nearest neighbours (Å) after each atom.
Space group I4/mmm (No. 139)
Asymmetric unit:
Pr (0.0000, 0.0000, 0.0000) (multiplicity 2)  8 Er 3.53, 4 Tm 3.54
Er (0.1680, 0.1680, 0.5000) (multiplicity 8)  4 Er 3.49-3.55, 6 Tm 3.51-3.53, 2 Pr 3.53
Tm (0.0000, 0.3350, 0.0000) (multiplicity 8)  5 Tm 3.49-3.50, 6 Er 3.51-3.53, 1 Pr 3.54

Values from the calculation:
As for the energy above the most stable polymorph in this dataset: 0.00 kJ/mol of atoms. For the energy of formation, the calculation gives 0.6 kcal/mol of atoms.

=====

No. 8
Compound: GaAsIr
Source: Alexandria
Functional: PBE-GGA
Structure: optimized geometry

Lattice parameters (Å, degrees): 7.0695 4.8295 7.1996 90.00 119.19 90.00
With the nearest neighbours (Å) after each atom.
Space group P2_1 (No. 4)
Asymmetric unit:
Ga (0.0990, 0.0000, 0.1625) (multiplicity 2)  3 Ir 2.56-2.63
Ga (0.3826, 0.4830, 0.3792) (multiplicity 2)  3 Ir 2.47-2.57
As (0.1597, 0.6708, 0.6218) (multiplicity 2)  4 Ir 2.53-2.62
As (0.3347, 0.1704, 0.9385) (multiplicity 2)  4 Ir 2.50-2.55
Ir (0.2493, 0.1653, 0.5578) (multiplicity 2)  3 Ga 2.47-2.63, 4 As 2.50-2.62
Ir (0.2939, 0.6717, 0.0263) (multiplicity 2)  3 Ga 2.47-2.59, 4 As 2.51-2.59

Values from the calculation:
As for the energy above the most stable polymorph in this dataset: 0.00 kJ/mol of atoms. For the energy of formation, the calculation gives -7.0 kcal/mol of atoms.

=====

No. 9
Compound: ZrNbS3
Source: Alexandria
Functional: PBE-GGA
Structure: optimized geometry

Lattice parameters (Å, degrees): 4.9105 4.9105 4.9105 90.00 90.00 90.00
With the nearest neighbours (Å) after each atom.
Space group Pm-3m (No. 221)
Asymmetric unit:
Zr (0.0000, 0.0000, 0.0000) (multiplicity 1)  6 S 2.46
Nb (0.5000, 0.5000, 0.5000) (multiplicity 1)  12 S 3.47
S (0.0000, 0.0000, 0.5000) (multiplicity 3)  2 Zr 2.46

Values from the calculation:
As for the energy above the most stable polymorph in this dataset: 100.87 kJ/mol of atoms. The calculation puts the formation energy without anion corrections at -108 meV/atom.

=====

No. 10
Compound: SrScRh2
Source: Alexandria
Functional: PBE-GGA
Structure: optimized geometry

Lattice parameters (Å, degrees): 10.4088 3.1761 5.2126 90.00 102.67 90.00
With the nearest neighbours (Å) after each atom.
Space group Cm (No. 8)
Asymmetric unit:
Sr (0.0000, 0.0000, 0.0000) (multiplicity 2)  7 Rh 2.97-3.20, 2 Sr 3.18, 1 Sc 3.33
Sc (0.2939, 0.5000, 0.4060) (multiplicity 2)  4 Rh 2.61-2.76
Rh (0.0162, 0.5000, 0.5026) (multiplicity 2)  3 Sc 2.76-3.04, 2 Rh 2.85, 4 Sr 3.04-3.08
Rh (0.2337, 0.0000, 0.7593) (multiplicity 2)  2 Sc 2.61, 2 Rh 2.85

Values from the calculation:
As for the energy above the most stable polymorph in this dataset: 27.94 kJ/mol of atoms. For the energy of formation, the calculation gives -6.0 kcal/mol of atoms.

=====

No. 11
Compound: KAg4Cl6
Source: Alexandria
Functional: PBE-GGA
Structure: optimized geometry

Lattice parameters (Å, degrees): 7.0742 7.1050 7.5705 81.64 63.31 68.68
With the nearest neighbours (Å) after each atom.
Space group P1 (No. 1)
Asymmetric unit:
K (0.0000, 0.0000, 0.0000) (multiplicity 1)  6 Cl 3.16-3.35
Ag (0.2719, 0.0929, 0.3570) (multiplicity 1)  4 Cl 2.49-2.72
Ag (0.4834, 0.6410, 0.3104) (multiplicity 1)  4 Cl 2.51-2.74
Ag (0.5771, 0.2785, 0.6696) (multiplicity 1)  4 Cl 2.53-2.70
Ag (0.6994, 0.6644, 0.8290) (multiplicity 1)  4 Cl 2.49-2.65
Cl (0.0766, 0.8496, 0.3972) (multiplicity 1)  2 Ag 2.49-2.53
Cl (0.4401, 0.6860, 0.6819) (multiplicity 1)  3 Ag 2.49-2.74
Cl (0.4745, 0.0445, 0.9564) (multiplicity 1)  3 Ag 2.53-2.72
Cl (0.5439, 0.2409, 0.3512) (multiplicity 1)  3 Ag 2.49-2.71
Cl (0.8803, 0.5935, 0.0587) (multiplicity 1)  2 Ag 2.49-2.51
Cl (0.9492, 0.3138, 0.6585) (multiplicity 1)  3 Ag 2.58-2.70

Values from the calculation:
The calculation puts the formation energy without anion corrections at -688 meV/atom.

=====

No. 12
Compound: Sr2NpAlS5
Source: Alexandria
Functional: PBE-GGA
Structure: optimized geometry

Lattice parameters (Å, degrees): 3.9729 17.8094 12.4829 90.00 90.00 90.00
With the nearest neighbours (Å) after each atom.
Space group Cmc2_1 (No. 36)
Asymmetric unit:
Sr (0.0000, 0.1145, 0.0000) (multiplicity 4)  7 S 2.99-3.30
Sr (0.0000, 0.1241, 0.6473) (multiplicity 4)  6 S 3.02-3.11
Np (0.0000, 0.2035, 0.3459) (multiplicity 4)  6 S 2.69-2.93
Al (0.0000, 0.4439, 0.7450) (multiplicity 4)  4 S 2.21-2.34
S (0.0000, 0.0393, 0.3415) (multiplicity 4)  2 Al 2.34
S (0.0000, 0.2950, 0.9947) (multiplicity 4)  2 Np 2.72
S (0.0000, 0.3204, 0.6891) (multiplicity 4)  1 Al 2.31
S (0.0000, 0.3542, 0.3264) (multiplicity 4)  1 Np 2.69, 4 Sr 2.99-3.02
S (0.0000, 0.4972, 0.0891) (multiplicity 4)  1 Al 2.21

Values from the calculation:
The calculation puts the formation energy without anion corrections at -1617 meV/atom.